## KCa2Rh (GGA-PBE)

Data for crystalline KCa2Rh at its relaxed geometry.

```
data_KCa2Rh
_space_group_name_H-M_alt 'C 1 2/m 1'
_space_group_IT_number 12
_cell_length_a 7.357
_cell_length_b 4.244
_cell_length_c 10.310
_cell_angle_alpha 90.00
_cell_angle_beta 104.05
_cell_angle_gamma 90.00
loop_
_space_group_symop_operation_xyz
'x,y,z'
'-x,-y,-z'
'-x,y,-z'
'x,-y,z'
'x+1/2,y+1/2,z'
'-x+1/2,-y+1/2,-z'
'-x+1/2,y+1/2,-z'
'x+1/2,-y+1/2,z'
loop_
_atom_site_label
_atom_site_fract_x
_atom_site_fract_y
_atom_site_fract_z
K1 0.000 0.000 0.000
Ca1 0.214 0.000 0.638
Rh1 0.000 0.500 0.500
```

The volume is 312.3 Å³ per cell. The value obtained for the energy above the lowest structure with this stoichiometry is 54.6 meV per atom.